No. 1
Here is a geometry-optimized PrSmNiCl structure from Alexandria via LeMat-Bulk. Energies are from GGA-PBE.

The structure in POSCAR format:
```
PrSmNiCl
1.0
-2.8760 -0.9999 -2.5711
1.5669 -2.7609 2.4100
-3.8430 3.1858 6.1478
Pr Sm Ni Cl
1 1 1 1
Cartesian
-3.7635 1.2066 3.1569
0.9086 -2.5014 2.4628
-3.3777 0.9544 5.9130
-3.5555 -0.8693 0.6423
```

Computed properties:
E_form (uncorrected)	-0.88	eV per atom
V	104	Å³/cell


No. 2
Here is a geometry-optimized NiPt2Cl structure from Alexandria via LeMat-Bulk. Energies are from GGA-PBE.

The structure in POSCAR format:
```
NiPt2Cl
1.0
-4.3594 0.5064 -0.7364
0.1481 -3.1821 -3.1074
1.4838 -0.8302 4.1125
Cl Ni Pt
1 1 2
Cartesian
-2.1057 -1.3379 -1.9219
-2.4906 -0.8309 0.7271
0.0000 0.0000 0.0000
-0.2369 -2.6751 -0.4584
```

Computed properties:
E_form (uncorrected)	0.60	eV per atom
V	62	Å³/cell


Repeat the first record exactly.
Here is a geometry-optimized PrSmNiCl structure from Alexandria via LeMat-Bulk. Energies are from GGA-PBE.

The structure in POSCAR format:
```
PrSmNiCl
1.0
-2.8760 -0.9999 -2.5711
1.5669 -2.7609 2.4100
-3.8430 3.1858 6.1478
Pr Sm Ni Cl
1 1 1 1
Cartesian
-3.7635 1.2066 3.1569
0.9086 -2.5014 2.4628
-3.3777 0.9544 5.9130
-3.5555 -0.8693 0.6423
```

Computed properties:
E_form (uncorrected)	-0.88	eV per atom
V	104	Å³/cell


> Number 1 is which compound?

PrSmNiCl


> What is the E_form (uncorrected) in the second record?

0.60 eV per atom